1.
Here is crystalline RbBePb3 at its relaxed geometry from Alexandria. Energies are from PBE.

a b c (Å): 5.3808 5.3808 5.3808
angles (deg): 90.00 90.00 90.00
Fractional coordinates of all 5 atoms:
Rb 0.0000 0.0000 0.0000
Be 0.5000 0.5000 0.5000
Pb 0.0000 0.5000 0.5000
Pb 0.5000 0.0000 0.5000
Pb 0.5000 0.5000 0.0000

Output
Space-group type   Pm-3m (221)
Energy above the most stable polymorph in this dataset   0.000 eV per atom
Total magnetic moment   0.000 μB/atom
DFT formation energy   1.2 eV per formula unit

2.
Here is crystalline CeAl4Ga at its relaxed geometry from Alexandria. Energies are from PBE.

a b c (Å): 5.5318 5.5318 5.5318
angles (deg): 60.00 60.00 60.00
Fractional coordinates of all 6 atoms:
Ce 0.0000 0.0000 0.0000
Al 0.3752 0.3752 0.3752
Al 0.3752 0.3752 0.8745
Al 0.3752 0.8745 0.3752
Al 0.8745 0.3752 0.3752
Ga 0.7500 0.7500 0.7500

Output
Space-group type   F-43m (216)
Total magnetic moment   0.187 μB/atom
DFT formation energy   -0.8 eV per formula unit

3.
Here is crystalline TlCd2Pb8 at its relaxed geometry from Alexandria. Energies are from PBE.

a b c (Å): 8.2730 8.2730 6.0552
angles (deg): 102.59 102.59 114.30
Fractional coordinates of all 11 atoms:
Tl 0.0000 0.0000 0.0000
Cd 0.3156 0.6844 0.5000
Cd 0.6844 0.3156 0.5000
Pb 0.0846 0.3285 0.6217
Pb 0.2362 0.7638 0.0000
Pb 0.3285 0.0846 0.6217
Pb 0.3935 0.3935 0.1693
Pb 0.6065 0.6065 0.8307
Pb 0.6715 0.9154 0.3783
Pb 0.7638 0.2362 0.0000
Pb 0.9154 0.6715 0.3783

Output
Space-group type   C2/m (12)
Energy above the most stable polymorph in this dataset   0.065 eV per atom
Total magnetic moment   0.000 μB/atom
DFT formation energy   0.9 eV per formula unit